1.
CsK5 (PBE-GGA, relaxed); total moment = 0.0 Bohr magnetons per cell; space group = Cmmm, No. 65; V = 78.44 Å³ per atom; density of states at the Fermi level = 0.682 states/eV/atom; ΔE_f = 0.0053 eV/atom
1.0
3.4434 -9.9199 0.0000
3.4434 9.9199 0.0000
0.0000 0.0000 6.8894
Cs K
1 5
direct
0.0000 0.0000 0.0000 Cs
0.1736 0.8264 0.5000 K
0.3273 0.6727 0.0000 K
0.5000 0.5000 0.5000 K
0.6727 0.3273 0.0000 K
0.8264 0.1736 0.5000 K



2.
CsKLa2 (PBE-GGA, relaxed); total moment = 0.0 Bohr magnetons per cell; energy above the lowest structure with this stoichiometry = 0.00 kcal/mol of atoms; space group = I-42d, No. 122; V = 49.89 Å³ per atom; density of states at the Fermi level = 1.238 states/eV/atom; ΔE_f = 0.6084 eV/atom
1.0
-2.5614 2.5614 15.2067
2.5614 -2.5614 15.2067
2.5614 2.5614 -15.2067
Cs K La
2 2 4
direct
0.0000 0.0000 0.0000 Cs
0.7500 0.2500 0.5000 Cs
0.2500 0.7500 0.5000 K
0.5000 0.5000 0.0000 K
0.1309 0.6250 0.0059 La
0.3750 0.3809 0.5059 La
0.6191 0.1250 0.9941 La
0.8750 0.8691 0.4941 La



3.
CsKLa2 (PBE-GGA, relaxed); total moment = 0.0 Bohr magnetons per cell; energy above the lowest structure with this stoichiometry = 3.92 kcal/mol of atoms; space group = Fm-3m, No. 225; V = 48.24 Å³ per atom; density of states at the Fermi level = 1.408 states/eV/atom; ΔE_f = 0.7783 eV/atom
1.0
0.0000 4.5865 4.5865
4.5865 0.0000 4.5865
4.5865 4.5865 0.0000
Cs K La
1 1 2
direct
0.0000 0.0000 0.0000 Cs
0.5000 0.5000 0.5000 K
0.2500 0.2500 0.2500 La
0.7500 0.7500 0.7500 La



4.
CsK2La (PBE-GGA, relaxed); total moment = 0.3 Bohr magnetons per cell; space group = R-3m, No. 166; V = 60.68 Å³ per atom; density of states at the Fermi level = 1.483 states/eV/atom; ΔE_f = 0.4019 eV/atom
1.0
2.0551 1.1865 16.5898
-2.0551 1.1865 16.5898
0.0000 -2.3730 16.5898
Cs K La
1 2 1
direct
0.0000 0.0000 0.0000 Cs
0.4221 0.4221 0.4221 K
0.5779 0.5779 0.5779 K
0.5000 0.5000 0.5000 La